VASP calculation (meta-GGA SCAN) on Co2Rh at its PBEsol-relaxed geometry.

The space-group type is P6_3/mmc, No. 194.

Unit cell a=4.076 b=4.076 c=4.954 alpha=90.00 beta=90.00 gamma=120.00
Positions (direct):
Co1 0.000 0.000 0.000
Co2 0.000 0.000 0.500
Co3 0.333 0.667 0.250
Co4 0.667 0.333 0.750
Rh1 0.333 0.667 0.750
Rh2 0.667 0.333 0.250


VASP calculation (meta-GGA SCAN) on Co2Rh3 at its PBEsol-relaxed geometry.

The space-group type is I4/mmm, No. 139. For the energy above the most stable polymorph in this dataset, the calculation gives 3 meV per atom.

Unit cell a=9.126 b=9.126 c=9.126 alpha=163.49 beta=163.49 gamma=23.44
Positions (direct):
Co1 0.099 0.099 0.000
Co2 0.901 0.901 0.000
Rh1 0.304 0.304 0.000
Rh2 0.500 0.500 0.000
Rh3 0.696 0.696 0.000


VASP calculation (meta-GGA SCAN) on Co2Rh at its PBEsol-relaxed geometry.

The space-group type is Cmcm, No. 63.

Unit cell a=6.650 b=6.650 c=2.670 alpha=90.00 beta=90.00 gamma=143.46
Positions (direct):
Co1 0.075 0.925 0.750
Co2 0.232 0.768 0.250
Co3 0.768 0.232 0.750
Co4 0.925 0.075 0.250
Rh1 0.403 0.597 0.750
Rh2 0.597 0.403 0.250


VASP calculation (meta-GGA SCAN) on Co3Rh2 at its PBEsol-relaxed geometry.

The space-group type is C2/m, No. 12. For the energy above the most stable polymorph in this dataset, the calculation gives 9 meV per atom.

Unit cell a=4.395 b=4.395 c=5.646 alpha=129.39 beta=129.39 gamma=48.28
Positions (direct):
Co1 0.000 0.000 0.000
Co2 0.201 0.201 0.593
Co3 0.799 0.799 0.407
Rh1 0.404 0.404 0.201
Rh2 0.596 0.596 0.799


VASP calculation (meta-GGA SCAN) on Co4Rh at its PBEsol-relaxed geometry.

The space-group type is C2/m, No. 12. For the energy above the most stable polymorph in this dataset, the calculation gives 21 meV per atom.

Unit cell a=4.344 b=4.344 c=6.129 alpha=119.01 beta=119.01 gamma=34.01
Positions (direct):
Co1 0.104 0.104 0.411
Co2 0.306 0.306 0.209
Co3 0.694 0.694 0.791
Co4 0.896 0.896 0.589
Rh1 0.500 0.500 0.000


VASP calculation (meta-GGA SCAN) on Co3Rh2 at its PBEsol-relaxed geometry.

The space-group type is R-3m, No. 166. For the energy above the most stable polymorph in this dataset, the calculation gives 40 meV per atom.

Unit cell a=10.303 b=10.303 c=10.303 alpha=14.43 beta=14.43 gamma=14.43
Positions (direct):
Co1 0.000 0.000 0.000
Co2 0.271 0.271 0.271
Co3 0.729 0.729 0.729
Rh1 0.130 0.130 0.130
Rh2 0.870 0.870 0.870


VASP calculation (meta-GGA SCAN) on Co2Rh3 at its PBEsol-relaxed geometry.

The space-group type is C2/m, No. 12. For the energy above the most stable polymorph in this dataset, the calculation gives 0 meV per atom.

Unit cell a=4.510 b=4.510 c=6.333 alpha=119.49 beta=119.49 gamma=33.86
Positions (direct):
Co1 0.107 0.107 0.405
Co2 0.893 0.893 0.595
Rh1 0.308 0.308 0.215
Rh2 0.500 0.500 0.000
Rh3 0.692 0.692 0.785


VASP calculation (meta-GGA SCAN) on Co2Rh at its PBEsol-relaxed geometry.

The space-group type is P6_3/mmc, No. 194.

Unit cell a=4.627 b=4.627 c=15.073 alpha=90.00 beta=90.00 gamma=120.00
Positions (direct):
Co1 0.000 0.500 0.000
Co2 0.000 0.500 0.500
Co3 0.162 0.324 0.250
Co4 0.162 0.838 0.250
Co5 0.324 0.162 0.750
Co6 0.333 0.667 0.127
Co7 0.333 0.667 0.373
Co8 0.500 0.000 0.000
Co9 0.500 0.000 0.500
Co10 0.500 0.500 0.000
Co11 0.500 0.500 0.500
Co12 0.667 0.333 0.627
Co13 0.667 0.333 0.873
Co14 0.676 0.838 0.250
Co15 0.838 0.162 0.750
Co16 0.838 0.676 0.750
Rh1 0.000 0.000 0.091
Rh2 0.000 0.000 0.409
Rh3 0.000 0.000 0.591
Rh4 0.000 0.000 0.909
Rh5 0.333 0.667 0.656
Rh6 0.333 0.667 0.844
Rh7 0.667 0.333 0.156
Rh8 0.667 0.333 0.344


VASP calculation (meta-GGA SCAN) on Co3Rh at its PBEsol-relaxed geometry.

The space-group type is P4/mmm, No. 123.

Unit cell a=2.555 b=2.555 c=6.927 alpha=90.00 beta=90.00 gamma=90.00
Positions (direct):
Co1 0.000 0.000 0.000
Co2 0.500 0.500 0.234
Co3 0.500 0.500 0.766
Rh1 0.000 0.000 0.500


VASP calculation (meta-GGA SCAN) on Co2Rh at its PBEsol-relaxed geometry.

The space-group type is Immm, No. 71.

Unit cell a=4.421 b=4.421 c=4.421 alpha=146.13 beta=133.13 gamma=59.07
Positions (direct):
Co1 0.171 0.171 0.000
Co2 0.829 0.829 0.000
Rh1 0.500 0.500 0.000


VASP calculation (meta-GGA SCAN) on CoRh3 at its PBEsol-relaxed geometry.

The space-group type is Cmmm, No. 65.

Unit cell a=4.538 b=4.538 c=2.636 alpha=90.00 beta=90.00 gamma=109.14
Positions (direct):
Co1 0.000 0.000 0.000
Rh1 0.000 0.500 0.500
Rh2 0.500 0.000 0.500
Rh3 0.500 0.500 0.000


VASP calculation (meta-GGA SCAN) on CoRh3 at its PBEsol-relaxed geometry.

The space-group type is Pm-3m, No. 221.

Unit cell a=3.715 b=3.715 c=3.715 alpha=90.00 beta=90.00 gamma=90.00
Positions (direct):
Co1 0.000 0.000 0.000
Rh1 0.000 0.500 0.500
Rh2 0.500 0.000 0.500
Rh3 0.500 0.500 0.000


Number 1: ΔH_f (0 K) 11.1 kJ/mol of atoms. Number 2: ΔH_f (0 K) 5.3 kJ/mol of atoms. Number 3: ΔH_f (0 K) 2.8 kJ/mol of atoms. Number 4: ΔH_f (0 K) 4.3 kJ/mol of atoms. Number 5: ΔH_f (0 K) 3.2 kJ/mol of atoms. Number 6: ΔH_f (0 K) 7.3 kJ/mol of atoms. Number 7: ΔH_f (0 K) 5.0 kJ/mol of atoms. Number 8: ΔH_f (0 K) -2.4 kJ/mol of atoms. Number 9: ΔH_f (0 K) 4.0 kJ/mol of atoms. Number 10: ΔH_f (0 K) 2.8 kJ/mol of atoms. Number 11: ΔH_f (0 K) 4.4 kJ/mol of atoms. Number 12: ΔH_f (0 K) 2.7 kJ/mol of atoms.